First-principles (PBE) data for Mg2TcRh after structural relaxation, as listed in the Alexandria database.

Values from the calculation:
- Formation enthalpy at 0 K: -0.019 eV/atom
- Energy relative to the lowest polymorph listed for this composition: 0.325 eV per formula unit
- Total magnetic moment: 0.00 μB/cell

Cell lengths 2.9102, 4.6237, 9.6350 Å; angles 90.00, 90.00, 90.00 degrees
Last column: nearest neighbours and their distance in Å.
Space group Imm2 (No. 44)
Unique sites:
Mg (0.0000, 0.0000, 0.0000) (multiplicity 2)  2 Rh 2.72, 4 Tc 2.76, 2 Mg 2.91
Mg (0.0000, 0.5000, 0.2183) (multiplicity 2)  4 Rh 2.74, 2 Tc 2.88, 2 Mg 2.91
Tc (0.0000, 0.0000, 0.4605) (multiplicity 2)  2 Rh 2.59, 6 Mg 2.76-2.88
Rh (0.0000, 0.5000, 0.7385) (multiplicity 2)  2 Tc 2.59, 6 Mg 2.72-2.74

First-principles (PBE) data for MgTcRh2 after structural relaxation, as listed in the Alexandria database.

Values from the calculation:
- Formation enthalpy at 0 K: 0.080 eV/atom
- Total magnetic moment: 0.00 μB/cell

Cell lengths 2.8360, 4.4773, 4.6809 Å; angles 90.00, 90.00, 90.00 degrees
Last column: nearest neighbours and their distance in Å.
Space group Pmmm (No. 47)
Unique sites:
Mg (0.0000, 0.0000, 0.0000) (multiplicity 1)  4 Rh 2.65, 4 Tc 2.74, 2 Mg 2.84
Tc (0.5000, 0.0000, 0.5000) (multiplicity 1)  4 Rh 2.65, 4 Mg 2.74, 2 Tc 2.84
Rh (0.0000, 0.5000, 0.5000) (multiplicity 1)  4 Tc 2.65, 6 Rh 2.74-2.84
Rh (0.5000, 0.5000, 0.0000) (multiplicity 1)  4 Mg 2.65, 6 Rh 2.74-2.84

First-principles (PBE) data for Mg2TcRh after structural relaxation, as listed in the Alexandria database.

Values from the calculation:
- Formation enthalpy at 0 K: -0.026 eV/atom
- Energy relative to the lowest polymorph listed for this composition: 0.296 eV per formula unit
- Total magnetic moment: 0.00 μB/cell

Cell lengths 10.0982, 2.8942, 4.6916 Å; angles 90.00, 109.18, 90.00 degrees
Last column: nearest neighbours and their distance in Å.
Space group Cm (No. 8)
Unique sites:
Mg (0.0000, 0.0000, 0.0000) (multiplicity 2)  4 Rh 2.76-2.77, 3 Tc 2.85-2.95, 5 Mg 2.89-3.09
Mg (0.2194, 0.0000, 0.6874) (multiplicity 2)  3 Rh 2.74-3.05, 4 Tc 2.77-2.79, 3 Mg 2.89-3.03
Tc (0.2573, 0.5000, 0.2174) (multiplicity 2)  2 Rh 2.59, 6 Mg 2.77-2.85, 2 Tc 2.89
Rh (0.4760, 0.0000, 0.4819) (multiplicity 2)  2 Tc 2.59, 6 Mg 2.74-2.77, 2 Rh 2.89

First-principles (PBE) data for MgTcRh after structural relaxation, as listed in the Alexandria database.

Values from the calculation:
- Formation enthalpy at 0 K: -0.173 eV/atom
- Energy relative to the lowest polymorph listed for this composition: 0.000 eV per formula unit
- Total magnetic moment: 0.00 μB/cell

Cell lengths 7.8263, 2.9381, 8.2602 Å; angles 90.00, 90.00, 90.00 degrees
Last column: nearest neighbours and their distance in Å.
Space group Pnma (No. 62)
Unique sites:
Mg (0.0653, 0.2500, 0.1569) (multiplicity 4)  5 Rh 2.71-2.81, 2 Mg 2.94, 2 Tc 3.03
Tc (0.1068, 0.2500, 0.5674) (multiplicity 4)  2 Tc 2.49, 3 Rh 2.58-2.61
Rh (0.2324, 0.2500, 0.8557) (multiplicity 4)  3 Tc 2.58-2.61, 5 Mg 2.71-2.81

> Among the records above, which one has the highest formation enthalpy at 0 K?

MgTcRh2